VASP calculation (PBE) on a relaxed LiMoS2 crystal.

a = 6.2767 Å, b = 6.6720 Å, c = 6.8022 Å
α = 61.09°, β = 89.90°, γ = 89.80°
Element x y z (fractional)
Li (0.0099, 0.4819, 0.2902)
Li (0.0209, 0.9908, 0.2601)
Li (0.9791, 0.0092, 0.7399)
Li (0.9901, 0.5181, 0.7098)
Mo (0.4961, 0.9430, 0.8078)
Mo (0.5003, 0.4917, 0.2102)
Mo (0.4997, 0.5083, 0.7898)
Mo (0.5039, 0.0570, 0.1922)
S (0.2268, 0.6551, 0.9314)
S (0.2536, 0.1822, 0.8952)
S (0.2816, 0.1521, 0.4311)
S (0.3017, 0.6778, 0.4093)
S (0.6983, 0.3222, 0.5907)
S (0.7184, 0.8479, 0.5689)
S (0.7464, 0.8178, 0.1048)
S (0.7732, 0.3449, 0.0686)

Output
VASP energy, eV per atom: -6.24
ΔE_f (raw), eV/atom: -0.988
Space group: No. 2